{"formula": "Tl2Os", "functional": "PBE", "state": "optimized geometry", "lattice": [[-0.0125, -2.5571, 1.6756], [0.4053, -3.9287, -5.9925], [7.1664, 0.1976, 0.3551]], "species": ["Tl", "Tl", "Tl", "Tl", "Os", "Os"], "fractional_positions": [[0.5000, 0.2316, 0.2324], [0.0000, 0.7316, 0.2676], [0.0000, 0.2684, 0.7324], [0.5000, 0.7684, 0.7676], [0.0000, 0.0000, 0.0000], [0.5000, 0.5000, 0.5000]], "space_group": "P4_2/mnm, No. 136", "e_above_lowest_polymorph_ev_per_atom": 0.326, "density_g_cm3": 12.631}

{"formula": "Tl2Os", "functional": "PBE", "state": "optimized geometry", "lattice": [[1.5022, 5.1930, -0.0213], [-1.5022, 5.1930, -0.0213], [0.0000, 3.1812, 8.9052]], "species": ["Os", "Os", "Tl", "Tl", "Tl", "Tl"], "fractional_positions": [[0.7234, 0.7234, 0.4029], [0.2766, 0.2766, 0.5971], [0.0118, 0.0118, 0.3268], [0.9882, 0.9882, 0.6732], [0.6579, 0.6579, 0.8973], [0.3421, 0.3421, 0.1027]], "space_group": "C2/m, No. 12", "e_above_lowest_polymorph_ev_per_atom": 0.202, "density_g_cm3": 14.297}

{"formula": "TlOs", "functional": "PBE", "state": "optimized geometry", "lattice": [[-0.5734, -4.0399, -2.0329], [1.6301, 0.2008, 4.2526], [-4.5850, -0.2394, 1.7688]], "species": ["Tl", "Tl", "Os", "Os"], "fractional_positions": [[0.6667, 0.3333, 0.7500], [0.3333, 0.6667, 0.2500], [0.0000, 0.0000, 0.5000], [0.0000, 0.0000, 0.0000]], "space_group": "P6_3/mmc, No. 194", "e_above_lowest_polymorph_ev_per_atom": 0.445, "density_g_cm3": 14.800}

{"formula": "TlOs4", "functional": "PBE", "state": "optimized geometry", "lattice": [[4.8028, 0.0000, 0.0000], [0.0000, 4.8028, 0.0000], [0.0000, 0.0000, 4.8028]], "species": ["Tl", "Os", "Os", "Os", "Os"], "fractional_positions": [[0.5000, 0.5000, 0.5000], [0.5000, 0.5000, 0.0000], [0.5000, 0.0000, 0.5000], [0.0000, 0.5000, 0.5000], [0.0000, 0.0000, 0.0000]], "space_group": "Pm-3m, No. 221", "e_above_lowest_polymorph_ev_per_atom": 3.084, "density_g_cm3": 14.469}

{"formula": "Tl3Os4", "functional": "PBE", "state": "optimized geometry", "lattice": [[-1.4651, 1.4651, 15.8759], [1.4651, -1.4651, 15.8759], [1.4651, 1.4651, -15.8759]], "species": ["Tl", "Tl", "Tl", "Os", "Os", "Os", "Os"], "fractional_positions": [[0.6956, 0.6956, 0.0000], [0.3044, 0.3044, 0.0000], [0.0000, 0.0000, 0.0000], [0.1204, 0.1204, 0.0000], [0.5712, 0.5712, 0.0000], [0.4288, 0.4288, 0.0000], [0.8796, 0.8796, 0.0000]], "space_group": "I4/mmm, No. 139", "dft_energy_ev_per_atom": -6.797, "density_g_cm3": 16.738}

{"formula": "TlOs", "functional": "PBE", "state": "optimized geometry", "lattice": [[-2.7214, -1.8192, -0.4996], [-0.3491, -0.3763, 3.2713], [-1.8540, 2.7411, 0.1175]], "species": ["Tl", "Os"], "fractional_positions": [[0.5000, 0.5000, 0.5000], [0.0000, 0.0000, 0.0000]], "space_group": "Pm-3m, No. 221", "e_above_lowest_polymorph_ev_per_atom": 0.662, "density_g_cm3": 18.047}

{"formula": "TlOs", "functional": "PBE", "state": "optimized geometry", "lattice": [[2.4800, -4.2955, 0.0000], [2.4800, 4.2955, 0.0000], [0.0000, 0.0000, 7.8351]], "species": ["Tl", "Tl", "Tl", "Tl", "Os", "Os", "Os", "Os"], "fractional_positions": [[0.0000, 0.0000, 0.2500], [0.6667, 0.3333, 0.2500], [0.0000, 0.0000, 0.7500], [0.3333, 0.6667, 0.7500], [0.6667, 0.3333, 0.5970], [0.6667, 0.3333, 0.9030], [0.3333, 0.6667, 0.0970], [0.3333, 0.6667, 0.4030]], "space_group": "P6_3/mmc, No. 194", "e_above_lowest_polymorph_ev_per_atom": 0.836, "density_g_cm3": 15.701}

{"formula": "Tl3Os", "functional": "PBE", "state": "optimized geometry", "lattice": [[-4.8127, 3.9127, -0.9424], [-1.0617, -5.8610, 1.9701], [0.6994, 3.3552, 10.3582]], "species": ["Tl", "Tl", "Tl", "Tl", "Tl", "Tl", "Tl", "Tl", "Tl", "Tl", "Tl", "Tl", "Os", "Os", "Os", "Os"], "fractional_positions": [[0.1608, 0.8392, 0.7500], [0.6784, 0.8392, 0.7500], [0.1608, 0.3216, 0.7500], [0.5000, 0.0000, 0.5000], [0.5000, 0.5000, 0.0000], [0.8392, 0.1608, 0.2500], [0.8392, 0.6784, 0.2500], [0.5000, 0.5000, 0.5000], [0.0000, 0.5000, 0.5000], [0.3216, 0.1608, 0.2500], [0.0000, 0.5000, 0.0000], [0.5000, 0.0000, 0.0000], [0.6667, 0.3333, 0.7500], [0.0000, 0.0000, 0.5000], [0.3333, 0.6667, 0.2500], [0.0000, 0.0000, 0.0000]], "space_group": "P6_3/mmc, No. 194", "e_above_lowest_polymorph_ev_per_atom": 0.576, "density_g_cm3": 14.349}